1.
An optimized crystal structure of Ho2ErGe3Pt4, computed with GGA-PBE.

Unit cell a=4.173 b=4.173 c=11.420 alpha=90.00 beta=90.00 gamma=90.00
Element x y z (fractional)
Ho: 0.000 0.500 0.221
Ho: 0.500 0.000 0.779
Er: 0.000 0.000 0.500
Ge: 0.000 0.500 0.871
Ge: 0.500 0.000 0.129
Ge: 0.500 0.500 0.500
Pt: 0.000 0.000 0.000
Pt: 0.000 0.500 0.658
Pt: 0.500 0.000 0.342
Pt: 0.500 0.500 0.000

Calculated values
ΔE_f: -9.417 eV per formula unit

2.
An optimized crystal structure of HoErGePt, computed with GGA-PBE.

Unit cell a=4.976 b=4.976 c=4.976 alpha=60.00 beta=60.00 gamma=60.00
Element x y z (fractional)
Ho: 0.000 0.000 0.000
Er: 0.500 0.500 0.500
Ge: 0.250 0.250 0.250
Pt: 0.750 0.750 0.750

Calculated values
energy above the lowest structure with this stoichiometry: 3.056 kcal/mol of atoms
ΔE_f: -3.827 eV per formula unit

3.
An optimized crystal structure of HoEr2Ge2Rh5, computed with GGA-PBE.

Unit cell a=9.902 b=9.902 c=3.658 alpha=90.00 beta=90.00 gamma=90.00
Element x y z (fractional)
Ho: 0.000 0.000 0.000
Ho: 0.500 0.500 0.000
Er: 0.173 0.327 0.000
Er: 0.327 0.827 0.000
Er: 0.673 0.173 0.000
Er: 0.827 0.673 0.000
Ge: 0.124 0.624 0.000
Ge: 0.376 0.124 0.000
Ge: 0.624 0.876 0.000
Ge: 0.876 0.376 0.000
Rh: 0.000 0.500 0.500
Rh: 0.070 0.784 0.500
Rh: 0.216 0.070 0.500
Rh: 0.284 0.570 0.500
Rh: 0.430 0.284 0.500
Rh: 0.500 0.000 0.500
Rh: 0.570 0.716 0.500
Rh: 0.716 0.430 0.500
Rh: 0.784 0.930 0.500
Rh: 0.930 0.216 0.500

Calculated values
ΔE_f: -8.790 eV per formula unit

4.
An optimized crystal structure of HoErGeRh, computed with GGA-PBE.

Unit cell a=4.916 b=4.916 c=4.916 alpha=60.00 beta=60.00 gamma=60.00
Element x y z (fractional)
Ho: 0.000 0.000 0.000
Er: 0.500 0.500 0.500
Ge: 0.250 0.250 0.250
Rh: 0.750 0.750 0.750

Calculated values
energy above the lowest structure with this stoichiometry: 2.902 kcal/mol of atoms
ΔE_f: -3.017 eV per formula unit

5.
An optimized crystal structure of HoErGeRh, computed with GGA-PBE.

Unit cell a=4.121 b=5.651 c=5.651 alpha=41.51 beta=90.00 gamma=90.00
Element x y z (fractional)
Ho: 0.000 0.000 0.000
Er: 0.500 0.280 0.280
Ge: 0.000 0.715 0.715
Rh: 0.500 0.558 0.558

Calculated values
energy above the lowest structure with this stoichiometry: 0.000 kcal/mol of atoms
ΔE_f: -3.520 eV per formula unit

6.
An optimized crystal structure of HoErGeS, computed with GGA-PBE.

Unit cell a=6.983 b=6.983 c=6.983 alpha=33.39 beta=33.39 gamma=33.39
Element x y z (fractional)
Ho: 0.000 0.000 0.000
Er: 0.499 0.499 0.499
Ge: 0.750 0.750 0.750
S: 0.249 0.249 0.249

Calculated values
raw formation energy: -1.437 eV per atom

7.
An optimized crystal structure of HoErSiGe, computed with GGA-PBE.

Unit cell a=3.880 b=5.688 c=5.688 alpha=43.85 beta=90.00 gamma=90.00
Element x y z (fractional)
Ho: 0.000 0.000 0.000
Er: 0.500 0.279 0.279
Si: 0.500 0.556 0.556
Ge: 0.000 0.720 0.720

Calculated values
raw formation energy: -0.833 eV per atom

8.
An optimized crystal structure of HoErTlGe, computed with GGA-PBE.

Unit cell a=5.193 b=5.193 c=5.193 alpha=60.00 beta=60.00 gamma=60.00
Element x y z (fractional)
Ho: 0.000 0.000 0.000
Er: 0.500 0.500 0.500
Tl: 0.750 0.750 0.750
Ge: 0.250 0.250 0.250

Calculated values
ΔE_f: -1.625 eV per formula unit

9.
An optimized crystal structure of HoEr2Zn2Ge2, computed with GGA-PBE.

Unit cell a=11.203 b=11.203 c=11.203 alpha=21.13 beta=21.13 gamma=21.13
Element x y z (fractional)
Ho: 0.000 0.000 0.000
Er: 0.124 0.124 0.124
Er: 0.876 0.876 0.876
Zn: 0.389 0.389 0.389
Zn: 0.611 0.611 0.611
Ge: 0.263 0.263 0.263
Ge: 0.737 0.737 0.737

Calculated values
ΔE_f: -2.986 eV per formula unit

10.
An optimized crystal structure of Er2GeI3, computed with GGA-PBE.

Unit cell a=10.494 b=10.494 c=14.587 alpha=128.59 beta=128.59 gamma=22.73
Element x y z (fractional)
Er: 0.100 0.100 0.229
Er: 0.375 0.375 0.056
Er: 0.625 0.625 0.944
Er: 0.900 0.900 0.771
Ge: 0.062 0.062 0.001
Ge: 0.938 0.938 0.999
I: 0.182 0.182 0.844
I: 0.261 0.261 0.654
I: 0.463 0.463 0.680
I: 0.537 0.537 0.320
I: 0.739 0.739 0.346
I: 0.818 0.818 0.156

Calculated values
raw formation energy: -1.012 eV per atom

11.
An optimized crystal structure of Er2GeI, computed with GGA-PBE.

Unit cell a=7.873 b=7.873 c=7.873 alpha=30.70 beta=30.70 gamma=30.70
Element x y z (fractional)
Er: 0.000 0.000 0.000
Er: 0.205 0.205 0.205
Ge: 0.604 0.604 0.604
I: 0.434 0.434 0.434

Calculated values
energy above the lowest structure with this stoichiometry: 0.487 kcal/mol of atoms
raw formation energy: -0.884 eV per atom

12.
An optimized crystal structure of Er2GeI, computed with GGA-PBE.

Unit cell a=7.716 b=7.716 c=7.716 alpha=31.73 beta=31.73 gamma=31.73
Element x y z (fractional)
Er: 0.230 0.230 0.230
Er: 0.770 0.770 0.770
Ge: 0.500 0.500 0.500
I: 0.000 0.000 0.000

Calculated values
energy above the lowest structure with this stoichiometry: 0.000 kcal/mol of atoms
raw formation energy: -0.905 eV per atom

13.
An optimized crystal structure of Er7GeI12, computed with GGA-PBE.

Unit cell a=9.645 b=9.645 c=9.645 alpha=107.99 beta=107.99 gamma=107.99
Element x y z (fractional)
Er: 0.000 0.000 0.000
Er: 0.189 0.397 0.467
Er: 0.397 0.467 0.189
Er: 0.467 0.189 0.397
Er: 0.533 0.811 0.603
Er: 0.603 0.533 0.811
Er: 0.811 0.603 0.533
Ge: 0.500 0.500 0.500
I: 0.033 0.345 0.112
I: 0.112 0.033 0.345
I: 0.186 0.728 0.578
I: 0.272 0.422 0.814
I: 0.345 0.112 0.033
I: 0.422 0.814 0.272
I: 0.578 0.186 0.728
I: 0.655 0.888 0.967
I: 0.728 0.578 0.186
I: 0.814 0.272 0.422
I: 0.888 0.967 0.655
I: 0.967 0.655 0.888

Calculated values
raw formation energy: -1.200 eV per atom

14.
An optimized crystal structure of Er4GeI5, computed with GGA-PBE.

Unit cell a=9.699 b=9.699 c=8.732 alpha=102.21 beta=102.21 gamma=24.85
Element x y z (fractional)
Er: 0.000 0.000 0.209
Er: 0.000 0.000 0.791
Er: 0.354 0.354 0.927
Er: 0.646 0.646 0.073
Ge: 0.500 0.500 0.000
I: 0.166 0.166 0.335
I: 0.172 0.172 0.829
I: 0.500 0.500 0.500
I: 0.828 0.828 0.171
I: 0.834 0.834 0.665

Calculated values
raw formation energy: -1.128 eV per atom

15.
An optimized crystal structure of KErGe2I8, computed with GGA-PBE.

Unit cell a=7.228 b=7.739 c=9.621 alpha=85.14 beta=86.67 gamma=85.45
Element x y z (fractional)
K: 0.000 0.000 0.000
Er: 0.000 0.000 0.500
Ge: 0.454 0.461 0.245
Ge: 0.546 0.539 0.755
I: 0.229 0.319 0.474
I: 0.248 0.831 0.281
I: 0.257 0.844 0.722
I: 0.276 0.363 0.027
I: 0.724 0.637 0.973
I: 0.743 0.156 0.278
I: 0.752 0.169 0.719
I: 0.771 0.681 0.526

Calculated values
raw formation energy: -0.800 eV per atom

16.
An optimized crystal structure of RbErGeI6, computed with GGA-PBE.

Unit cell a=7.830 b=7.830 c=8.207 alpha=90.00 beta=90.00 gamma=120.00
Element x y z (fractional)
Rb: 0.000 0.000 0.000
Er: 0.667 0.333 0.500
Ge: 0.333 0.667 0.500
I: 0.372 0.001 0.712
I: 0.372 0.371 0.288
I: 0.629 0.001 0.288
I: 0.629 0.628 0.712
I: 0.999 0.371 0.712
I: 0.999 0.628 0.288

Calculated values
raw formation energy: -1.059 eV per atom

17.
An optimized crystal structure of ErTlGeI6, computed with GGA-PBE.

Unit cell a=7.781 b=7.781 c=7.714 alpha=90.00 beta=90.00 gamma=120.00
Element x y z (fractional)
Er: 0.000 0.000 0.000
Tl: 0.667 0.333 0.500
Ge: 0.333 0.667 0.000
I: 0.032 0.333 0.775
I: 0.032 0.699 0.225
I: 0.301 0.333 0.225
I: 0.301 0.968 0.775
I: 0.667 0.699 0.775
I: 0.667 0.968 0.225

Calculated values
raw formation energy: -0.864 eV per atom

18.
An optimized crystal structure of Er3InGe3, computed with GGA-PBE.

Unit cell a=8.631 b=8.631 c=5.815 alpha=90.00 beta=90.00 gamma=120.00
Element x y z (fractional)
Er: 0.050 0.690 0.250
Er: 0.310 0.359 0.250
Er: 0.359 0.050 0.750
Er: 0.641 0.950 0.250
Er: 0.690 0.641 0.750
Er: 0.950 0.310 0.750
In: 0.333 0.667 0.750
In: 0.667 0.333 0.250
Ge: 0.040 0.692 0.750
Ge: 0.308 0.348 0.750
Ge: 0.348 0.040 0.250
Ge: 0.652 0.960 0.750
Ge: 0.692 0.652 0.250
Ge: 0.960 0.308 0.250

Calculated values
ΔE_f: -3.624 eV per formula unit

19.
An optimized crystal structure of ErInGe, computed with GGA-PBE.

Unit cell a=6.098 b=6.098 c=6.098 alpha=146.08 beta=146.08 gamma=48.73
Element x y z (fractional)
Er: 0.000 0.000 0.000
In: 0.306 0.306 0.000
Ge: 0.665 0.665 0.000

Calculated values
ΔE_f: -0.790 eV per formula unit

20.
An optimized crystal structure of ErInGe, computed with GGA-PBE.

Unit cell a=4.288 b=4.288 c=4.652 alpha=90.00 beta=90.00 gamma=120.00
Element x y z (fractional)
Er: 0.000 0.000 0.000
In: 0.667 0.333 0.569
Ge: 0.333 0.667 0.316

Calculated values
ΔE_f: -1.204 eV per formula unit

21.
An optimized crystal structure of Er7In2Ge2, computed with GGA-PBE.

Unit cell a=6.796 b=6.796 c=7.053 alpha=90.00 beta=90.00 gamma=105.34
Element x y z (fractional)
Er: 0.000 0.000 0.000
Er: 0.000 0.500 0.266
Er: 0.000 0.500 0.734
Er: 0.500 0.000 0.266
Er: 0.500 0.000 0.734
Er: 0.500 0.500 0.254
Er: 0.500 0.500 0.746
In: 0.176 0.176 0.500
In: 0.824 0.824 0.500
Ge: 0.281 0.719 0.000
Ge: 0.719 0.281 0.000

Calculated values
ΔE_f: -3.564 eV per formula unit

22.
An optimized crystal structure of Er3InGe2, computed with GGA-PBE.

Unit cell a=8.362 b=8.362 c=8.362 alpha=150.39 beta=150.20 gamma=42.51
Element x y z (fractional)
Er: 0.000 0.000 0.000
Er: 0.325 0.825 0.500
Er: 0.675 0.175 0.500
In: 0.500 0.500 0.000
Ge: 0.140 0.640 0.500
Ge: 0.860 0.360 0.500

Calculated values
ΔE_f: -4.053 eV per formula unit

23.
An optimized crystal structure of Er6InGe2, computed with GGA-PBE.

Unit cell a=8.494 b=8.494 c=8.494 alpha=111.95 beta=111.68 gamma=104.88
Element x y z (fractional)
Er: 0.027 0.823 0.204
Er: 0.247 0.546 0.299
Er: 0.247 0.948 0.701
Er: 0.277 0.317 0.594
Er: 0.277 0.683 0.960
Er: 0.381 0.177 0.204
Er: 0.619 0.823 0.796
Er: 0.723 0.317 0.040
Er: 0.723 0.683 0.406
Er: 0.753 0.052 0.299
Er: 0.753 0.454 0.701
Er: 0.973 0.177 0.796
In: 0.000 0.500 0.500
In: 0.500 0.000 0.500
Ge: 0.000 0.150 0.150
Ge: 0.000 0.850 0.850
Ge: 0.377 0.377 0.000
Ge: 0.623 0.623 0.000

Calculated values
ΔE_f: -5.031 eV per formula unit

24.
An optimized crystal structure of Er8In3Ge2, computed with GGA-PBE.

Unit cell a=8.841 b=8.841 c=5.292 alpha=90.00 beta=90.00 gamma=120.96
Element x y z (fractional)
Er: 0.110 0.890 0.000
Er: 0.156 0.410 0.500
Er: 0.314 0.686 0.000
Er: 0.410 0.156 0.500
Er: 0.590 0.844 0.500
Er: 0.686 0.314 0.000
Er: 0.844 0.590 0.500
Er: 0.890 0.110 0.000
In: 0.000 0.000 0.500
In: 0.321 0.321 0.000
In: 0.679 0.679 0.000
Ge: 0.228 0.772 0.500
Ge: 0.772 0.228 0.500

Calculated values
ΔE_f: -4.314 eV per formula unit

| no. | theoretical density (g/cm3) |
| --- | --- |
| 1 | 12.5 |
| 2 | 11.4 |
| 3 | 10.7 |
| 4 | 10.0 |
| 5 | 9.7 |
| 6 | 7.9 |
| 7 | 8.3 |
| 8 | 10.2 |
| 9 | 8.0 |
| 10 | 5.5 |
| 11 | 7.9 |
| 12 | 7.9 |
| 13 | 6.3 |
| 14 | 6.8 |
| 15 | 4.3 |
| 16 | 4.1 |
| 17 | 5.0 |
| 18 | 7.4 |
| 19 | 8.4 |
| 20 | 8.0 |
| 21 | 8.2 |
| 22 | 8.8 |
| 23 | 8.9 |
| 24 | 8.6 |